The following is a PBE-GGA calculation of a relaxed RbLiIn2F8 crystal, from Alexandria.

Calculated values
Size of the total moment (Bohr magnetons per cell): 0.01
Crystal system: monoclinic
Calculated total energy (eV for the cell shown): -54.30

```
RbLiIn2F8
1.0
-2.277 -4.058 2.678
4.608 -2.215 1.759
-0.288 3.921 5.698
In F Rb Li
2 8 1 1
direct
0.500 0.500 0.763
0.500 0.500 0.237
0.651 0.661 0.500
0.326 0.319 0.000
0.211 0.778 0.203
0.211 0.778 0.797
0.349 0.339 0.500
0.789 0.222 0.797
0.674 0.681 0.000
0.789 0.222 0.203
0.000 0.000 0.500
0.000 0.000 0.000
```

***

The following is a PBE-GGA calculation of a relaxed RbLi4In3F12 crystal, from Alexandria.

Calculated values
Size of the total moment (Bohr magnetons per cell): 0.00
Crystal system: trigonal
Calculated total energy (eV for the cell shown): -90.11

```
RbLi4In3F12
1.0
7.323 -0.202 -0.280
-1.960 7.058 -0.280
-1.960 -2.506 6.604
Li F In Rb
4 12 3 1
direct
0.500 0.938 0.062
0.500 0.500 0.500
0.062 0.500 0.938
0.938 0.062 0.500
0.500 0.343 0.657
0.363 0.956 0.235
0.500 0.098 0.902
0.098 0.902 0.500
0.637 0.765 0.044
0.765 0.044 0.637
0.902 0.500 0.098
0.657 0.500 0.343
0.956 0.235 0.363
0.235 0.363 0.956
0.044 0.637 0.765
0.343 0.657 0.500
0.443 0.000 0.557
0.000 0.557 0.443
0.557 0.443 0.000
0.000 0.000 0.000
```

***

The following is a PBE-GGA calculation of a relaxed LiInRhF6 crystal, from Alexandria.

Calculated values
Size of the total moment (Bohr magnetons per cell): 2.00
Crystal system: tetragonal
Calculated total energy (eV for the cell shown): -84.35

```
LiInRhF6
1.0
-3.640 2.139 -2.337
-0.434 -3.863 -2.860
-6.579 -4.081 6.512
F Li In Rh
12 2 2 2
direct
0.195 0.805 0.492
0.699 0.699 0.666
0.805 0.195 0.492
0.704 0.704 0.341
0.796 0.204 0.841
0.695 0.695 0.992
0.801 0.199 0.166
0.199 0.801 0.166
0.296 0.296 0.341
0.305 0.305 0.992
0.204 0.796 0.841
0.301 0.301 0.666
0.500 0.500 0.838
0.000 0.000 0.338
0.500 0.500 0.498
0.000 0.000 0.998
0.000 0.000 0.667
0.500 0.500 0.167
```

***

The following is a PBE-GGA calculation of a relaxed LiInSbF6 crystal, from Alexandria.

Calculated values
Size of the total moment (Bohr magnetons per cell): 0.00
Crystal system: trigonal
Calculated total energy (eV for the cell shown): -40.82

```
LiInSbF6
1.0
5.576 0.000 0.000
2.788 4.829 0.000
0.000 0.000 5.111
F Li Sb In
6 1 1 1
direct
0.338 0.651 0.273
0.011 0.651 0.727
0.651 0.011 0.273
0.011 0.338 0.273
0.338 0.011 0.727
0.651 0.339 0.727
0.333 0.333 0.500
0.667 0.667 0.500
0.000 0.000 0.000
```

***

Number 1: formation energy without anion corrections -2.5811 eV per atom, DOS(E_F) 0.00 states/eV per cell. Number 2: formation energy without anion corrections -2.5409 eV per atom, DOS(E_F) 2.73 states/eV per cell. Number 3: formation energy without anion corrections -2.1050 eV per atom, DOS(E_F) 5.43 states/eV per cell. Number 4: formation energy without anion corrections -2.3135 eV per atom, DOS(E_F) 3.88 states/eV per cell.